No. 1
# K5Ag | Alexandria | GGA-PBE | optimized geometry
data_K5Ag
_space_group_name_H-M_alt 'P 1'
_space_group_IT_number 1
_space_group_name_Hall 'P 1'
_cell_length_a 4.369
_cell_length_b 4.369
_cell_length_c 18.137
_cell_angle_alpha 90.00
_cell_angle_beta 90.00
_cell_angle_gamma 90.00
loop_
_atom_site_label
_atom_site_type_symbol
_atom_site_fract_x
_atom_site_fract_y
_atom_site_fract_z
K1 K 0.000 0.000 0.000
K2 K 0.000 0.000 0.395
K3 K 0.000 0.000 0.605
K4 K 0.500 0.500 0.196
K5 K 0.500 0.500 0.804
Ag1 Ag 0.500 0.500 0.500
# total energy: -1.3606 eV/atom
# calculated formation energy: 0.029 eV per atom
# D(E_F): 3.69 states/eV/f.u.



No. 2
# LiScTc | Alexandria | GGA-PBE | optimized geometry
data_LiScTc
_space_group_name_H-M_alt 'P 1'
_space_group_IT_number 1
_space_group_name_Hall 'P 1'
_cell_length_a 4.600
_cell_length_b 4.600
_cell_length_c 2.680
_cell_angle_alpha 90.00
_cell_angle_beta 90.00
_cell_angle_gamma 120.00
loop_
_atom_site_label
_atom_site_type_symbol
_atom_site_fract_x
_atom_site_fract_y
_atom_site_fract_z
Li1 Li 0.000 0.000 0.000
Sc1 Sc 0.333 0.667 0.423
Tc1 Tc 0.667 0.333 0.892
# total energy: -6.0594 eV/atom
# calculated formation energy: 0.144 eV per atom
# D(E_F): 2.25 states/eV/f.u.



No. 3
# BeFeTc2 | Alexandria | GGA-PBE | optimized geometry
data_BeFeTc2
_space_group_name_H-M_alt 'P 1'
_space_group_IT_number 1
_space_group_name_Hall 'P 1'
_cell_length_a 8.314
_cell_length_b 8.314
_cell_length_c 8.314
_cell_angle_alpha 18.45
_cell_angle_beta 18.45
_cell_angle_gamma 18.45
loop_
_atom_site_label
_atom_site_type_symbol
_atom_site_fract_x
_atom_site_fract_y
_atom_site_fract_z
Be1 Be 0.000 0.000 0.000
Fe1 Fe 0.500 0.500 0.500
Tc1 Tc 0.251 0.251 0.251
Tc2 Tc 0.749 0.749 0.749
# total energy: -8.0833 eV/atom
# calculated formation energy: 0.147 eV per atom
# D(E_F): 3.02 states/eV/f.u.



No. 4
# Y2ZrRe | Alexandria | GGA-PBE | optimized geometry
data_Y2ZrRe
_space_group_name_H-M_alt 'P 1'
_space_group_IT_number 1
_space_group_name_Hall 'P 1'
_cell_length_a 3.405
_cell_length_b 3.405
_cell_length_c 8.321
_cell_angle_alpha 90.00
_cell_angle_beta 90.00
_cell_angle_gamma 90.00
loop_
_atom_site_label
_atom_site_type_symbol
_atom_site_fract_x
_atom_site_fract_y
_atom_site_fract_z
Y1 Y 0.000 0.000 0.206
Y2 Y 0.000 0.000 0.794
Zr1 Zr 0.500 0.500 0.500
Re1 Re 0.500 0.500 0.000
# total energy: -8.1686 eV/atom
# calculated formation energy: 0.313 eV per atom
# D(E_F): 7.57 states/eV/f.u.



Q: What is the calculated formation energy in the second record?
A: 0.144 eV per atom



Q: Number 3 is which compound?
A: BeFeTc2



Q: The lowest total energy belongs to which entry?
A: Y2ZrRe



Q: Look up the calculated formation energy of the fourth one.
A: 0.313 eV per atom